(1)
VASP calculation (PBE) on LuHf2Sc after structural relaxation.

a = 3.7125 Å, b = 3.7125 Å, c = 6.9885 Å
α = 90.00°, β = 90.00°, γ = 90.00°
Fractional positions:
Sc 0.5000 0.5000 0.0000
Hf 0.0000 0.0000 0.2201
Hf 0.0000 0.0000 0.7799
Lu 0.5000 0.5000 0.5000

Summary:
E above lowest polymorph = 0.131 eV/atom
formation enthalpy at 0 K = 246 meV/atom

***

(2)
VASP calculation (PBE) on La2MgPd2Pt5 after structural relaxation.

a = 4.2120 Å, b = 9.5748 Å, c = 9.5748 Å
α = 90.00°, β = 90.00°, γ = 90.00°
Fractional positions:
Pd 0.0000 0.3734 0.1266
Pd 0.0000 0.1266 0.6266
Pd 0.0000 0.6266 0.8734
Pd 0.0000 0.8734 0.3734
Mg 0.0000 0.5000 0.5000
Mg 0.0000 0.0000 0.0000
La 0.0000 0.1738 0.3262
La 0.0000 0.6738 0.1738
La 0.0000 0.8262 0.6738
La 0.0000 0.3262 0.8262
Pt 0.5000 0.4432 0.2986
Pt 0.5000 0.2986 0.5568
Pt 0.5000 0.0000 0.5000
Pt 0.5000 0.5000 0.0000
Pt 0.5000 0.9432 0.2014
Pt 0.5000 0.7986 0.9432
Pt 0.5000 0.5568 0.7014
Pt 0.5000 0.0568 0.7986
Pt 0.5000 0.7014 0.4432
Pt 0.5000 0.2014 0.0568

Summary:
formation enthalpy at 0 K = -827 meV/atom

***

(3)
VASP calculation (PBE) on TbPr2P2I2 after structural relaxation.

a = 5.2751 Å, b = 5.2751 Å, c = 9.1266 Å
α = 106.80°, β = 106.80°, γ = 90.00°
Fractional positions:
P 0.0000 0.5000 0.0000
P 0.5000 0.0000 0.0000
Tb 0.0000 0.0000 0.0000
Pr 0.4026 0.4026 0.8052
Pr 0.5974 0.5974 0.1948
I 0.8095 0.8095 0.6190
I 0.1905 0.1905 0.3810

Summary:
raw formation energy = -8.13 eV/f.u.

***

(4)
VASP calculation (PBE) on LiCa2US5 after structural relaxation.

a = 3.9931 Å, b = 8.4510 Å, c = 12.7381 Å
α = 90.00°, β = 90.00°, γ = 103.67°
Fractional positions:
S 0.9228 0.8456 0.5561
S 0.5014 0.0029 0.7726
S 0.2596 0.5192 0.6670
S 0.4986 0.9971 0.2726
S 0.3832 0.7664 0.9965
S 0.6168 0.2336 0.4965
S 0.0772 0.1544 0.0561
S 0.7154 0.4308 0.8934
S 0.2846 0.5692 0.3934
S 0.7404 0.4808 0.1670
Ca 0.0774 0.1548 0.6566
Ca 0.9226 0.8452 0.1566
Ca 0.1153 0.2305 0.3103
Ca 0.8847 0.7695 0.8103
Li 0.5616 0.1232 0.9440
Li 0.4384 0.8768 0.4440
U 0.7720 0.5440 0.5275
U 0.2280 0.4560 0.0275

Summary:
raw formation energy = -14.54 eV/f.u.

***

(5)
VASP calculation (PBE) on ScMoBr2 after structural relaxation.

a = 9.2335 Å, b = 9.2335 Å, c = 9.2335 Å
α = 20.27°, β = 20.27°, γ = 20.27°
Fractional positions:
Sc 0.5000 0.5000 0.5000
Mo 0.0000 0.0000 0.0000
Br 0.9058 0.9058 0.9058
Br 0.0942 0.0942 0.0942

Summary:
raw formation energy = -0.19 eV/f.u.
E above lowest polymorph = 0.312 eV/atom

***

(6)
VASP calculation (PBE) on Ta2AgHRh after structural relaxation.

a = 4.0563 Å, b = 4.0563 Å, c = 4.2033 Å
α = 90.00°, β = 90.00°, γ = 90.00°
Fractional positions:
Ta 0.0000 0.5000 0.0000
Ta 0.5000 0.0000 0.0000
Rh 0.5000 0.5000 0.5000
Ag 0.0000 0.0000 0.5000
H 0.0000 0.0000 0.0000

Summary:
E above lowest polymorph = 0.023 eV/atom

***

(7)
VASP calculation (PBE) on AlTl2As after structural relaxation.

a = 5.2491 Å, b = 5.2491 Å, c = 6.4517 Å
α = 86.70°, β = 86.70°, γ = 34.64°
Fractional positions:
As 0.7500 0.7500 0.7500
Tl 0.4974 0.4974 0.4968
Tl 0.0026 0.0026 0.0032
Al 0.2500 0.2500 0.2500

Summary:
E above lowest polymorph = 0.337 eV/atom
formation enthalpy at 0 K = 283 meV/atom

***

(8)
VASP calculation (PBE) on GeAsH2 after structural relaxation.

a = 3.4251 Å, b = 7.4991 Å, c = 9.9796 Å
α = 94.89°, β = 90.00°, γ = 90.00°
Fractional positions:
H 0.6121 0.3837 0.7289
H 0.5924 0.0303 0.6067
H 0.3879 0.6163 0.2711
H 0.1121 0.1163 0.7711
H 0.9076 0.5303 0.1067
H 0.4076 0.9697 0.3933
H 0.0924 0.4697 0.8933
H 0.8879 0.8837 0.2289
Ge 0.6376 0.4551 0.2135
Ge 0.1376 0.0449 0.2865
Ge 0.8624 0.9551 0.7135
Ge 0.3624 0.5449 0.7865
As 0.8846 0.3231 0.4144
As 0.6154 0.8231 0.9144
As 0.3846 0.1769 0.0856
As 0.1154 0.6769 0.5856

Summary:
E above lowest polymorph = 0.000 eV/atom

***

(9)
VASP calculation (PBE) on Zr3NbS after structural relaxation.

a = 5.1008 Å, b = 5.1008 Å, c = 5.1008 Å
α = 90.00°, β = 90.00°, γ = 90.00°
Fractional positions:
Zr 0.0000 0.0000 0.5000
Zr 0.5000 0.0000 0.0000
Zr 0.0000 0.5000 0.0000
Nb 0.0000 0.0000 0.0000
S 0.5000 0.5000 0.5000

Summary:
raw formation energy = 4.67 eV/f.u.
E above lowest polymorph = 1.208 eV/atom

***

(10)
VASP calculation (PBE) on ZrPaNi14 after structural relaxation.

a = 5.2738 Å, b = 5.2738 Å, c = 7.0907 Å
α = 90.00°, β = 90.00°, γ = 90.00°
Fractional positions:
Ni 0.6253 0.6253 0.7679
Ni 0.1247 0.1247 0.7679
Ni 0.1247 0.1247 0.2321
Ni 0.3750 0.8750 0.5000
Ni 0.8750 0.3750 0.0000
Ni 0.3750 0.3750 0.0000
Ni 0.1247 0.6253 0.2321
Ni 0.8750 0.3750 0.5000
Ni 0.3750 0.8750 0.0000
Ni 0.8750 0.8750 0.0000
Ni 0.1247 0.6253 0.7679
Ni 0.6253 0.1247 0.2321
Ni 0.6253 0.1247 0.7679
Ni 0.6253 0.6253 0.2321
Zr 0.8750 0.8750 0.5000
Pa 0.3750 0.3750 0.5000

Summary:
formation enthalpy at 0 K = -184 meV/atom

***

(11)
VASP calculation (PBE) on CoPb2Cl after structural relaxation.

a = 5.6295 Å, b = 5.6295 Å, c = 5.6295 Å
α = 136.75°, β = 123.24°, γ = 73.94°
Fractional positions:
Pb 0.4466 0.4466 0.0000
Pb 0.0534 0.0534 0.0000
Co 0.2500 0.7500 0.5000
Cl 0.7500 0.2500 0.5000

Summary:
raw formation energy = 1.20 eV/f.u.
E above lowest polymorph = 0.317 eV/atom

***

(12)
VASP calculation (PBE) on K2Rb6Ba after structural relaxation.

a = 4.8125 Å, b = 4.8125 Å, c = 37.3158 Å
α = 90.00°, β = 90.00°, γ = 120.00°
Fractional positions:
Rb 0.6667 0.3333 0.1062
Rb 0.3333 0.6667 0.2209
Rb 0.3333 0.6667 0.4379
Rb 0.3333 0.6667 0.5621
Rb 0.3333 0.6667 0.7791
Rb 0.6667 0.3333 0.8938
Ba 0.3333 0.6667 0.0000
K 0.6667 0.3333 0.3293
K 0.6667 0.3333 0.6707

Summary:
formation enthalpy at 0 K = 42 meV/atom

***

Number 1: magnetization 0.00 μB/f.u.. Number 2: magnetization 0.00 μB/f.u.. Number 3: magnetization 0.96 μB/f.u.. Number 4: magnetization 1.00 μB/f.u.. Number 5: magnetization 0.00 μB/f.u.. Number 6: magnetization 0.00 μB/f.u.. Number 7: magnetization 0.00 μB/f.u.. Number 8: magnetization 0.00 μB/f.u.. Number 9: magnetization 1.23 μB/f.u.. Number 10: magnetization 3.31 μB/f.u.. Number 11: magnetization 1.51 μB/f.u.. Number 12: magnetization 0.00 μB/f.u..